(1)
This record from the Alexandria database describes crystalline BaHg2I2 at its relaxed geometry. The functional is PBE-GGA.

Properties
- E_form (uncorrected) (eV/atom) = -0.766
- SG = I4/mmm

a b c (Å): 6.7343 6.7343 6.7343
angles (deg): 119.94 119.94 90.10
Closest atoms and distances in Å follow each position.
Sites, in units of the cell vectors:
Ba (0.0000, 0.0000, 0.0000)  2 Hg 3.34
Hg (0.3505, 0.3505, 0.0000)  1 Hg 2.84
Hg (0.6495, 0.6495, 0.0000)  1 Hg 2.84
I (0.2500, 0.7500, 0.5000)  4 Hg 3.50
I (0.7500, 0.2500, 0.5000)  4 Hg 3.50

***

(2)
This record from the Alexandria database describes crystalline SmUC2 at its relaxed geometry. The functional is PBE-GGA.

Properties
- energy relative to the elements (eV/atom) = -0.1997
- SG = R-3m

a b c (Å): 6.1698 6.1698 6.1698
angles (deg): 34.09 34.09 34.09
Closest atoms and distances in Å follow each position.
Sites, in units of the cell vectors:
Sm (0.0000, 0.0000, 0.0000)  6 C 2.72
U (0.5000, 0.5000, 0.5000)  6 C 2.39
C (0.2333, 0.2333, 0.2333)  3 U 2.39
C (0.7667, 0.7667, 0.7667)  3 U 2.39

***

(3)
This record from the Alexandria database describes crystalline PmHo2OsN4 at its relaxed geometry. The functional is PBE-GGA.

Properties
- E_form (uncorrected) (eV/atom) = -0.976
- SG = Cmcm

a b c (Å): 6.0748 6.0748 11.6230
angles (deg): 90.00 90.00 147.32
Closest atoms and distances in Å follow each position.
Sites, in units of the cell vectors:
Pm (0.1219, 0.8781, 0.7500)  6 N 2.57-2.69
Pm (0.8781, 0.1219, 0.2500)  6 N 2.57-2.69
Ho (0.3687, 0.6313, 0.5410)  5 N 2.29-2.54
Ho (0.3687, 0.6313, 0.9590)  5 N 2.29-2.54
Ho (0.6313, 0.3687, 0.0410)  5 N 2.29-2.54
Ho (0.6313, 0.3687, 0.4590)  5 N 2.29-2.54
Os (0.1408, 0.8592, 0.2500)  4 N 1.98-2.04
Os (0.8592, 0.1408, 0.7500)  4 N 1.98-2.04
N (0.0000, 0.0000, 0.0000)  4 Ho 2.34
N (0.0000, 0.0000, 0.5000)  4 Ho 2.34
N (0.2667, 0.7333, 0.1279)  1 Os 2.04
N (0.2667, 0.7333, 0.3721)  1 Os 2.04
N (0.4441, 0.5559, 0.7500)  2 Os 1.98
N (0.5559, 0.4441, 0.2500)  2 Os 1.98
N (0.7333, 0.2667, 0.6279)  1 Os 2.04
N (0.7333, 0.2667, 0.8721)  1 Os 2.04

***

For each record above, in turn, the calculated calculated total energy values are -9.5 -35.3 -132.5 eV/cell.